1.
# Mg3GaRh4 (PBE-GGA, optimized geometry)
# energy of formation from the pure elements: -588 meV/atom
# final energy: -5.24 eV per atom
# M_tot: 0.000 μB per cell
data_Mg3GaRh4
_chemical_formula_sum 'Mg9 Ga3 Rh12'
_cell_length_a 4.3703
_cell_length_b 4.3703
_cell_length_c 21.3826
_cell_angle_alpha 90.00
_cell_angle_beta 90.00
_cell_angle_gamma 120.00
_symmetry_space_group_name_H-M 'R -3 m'
_symmetry_Int_Tables_number 166
_symmetry_space_group_name_Hall '-R 3 2"'
loop_
_atom_site_label
_atom_site_type_symbol
_atom_site_fract_x
_atom_site_fract_y
_atom_site_fract_z
Mg1 Mg 0.0000 0.0000 0.0000
Mg2 Mg 0.0000 0.0000 0.2516
Ga1 Ga 0.0000 0.0000 0.5000
Rh1 Rh 0.0000 0.0000 0.1281
Rh2 Rh 0.0000 0.0000 0.3784



2.
# PrSmRu (PBE-GGA, optimized geometry)
# energy above the most stable polymorph in this dataset: 0 meV/atom
# energy of formation from the pure elements: -161 meV/atom
# final energy: -6.42 eV per atom
# M_tot: 0.000 μB per cell
data_PrSmRu
_chemical_formula_sum 'Pr2 Sm2 Ru2'
_cell_length_a 3.494
_cell_length_b 3.494
_cell_length_c 13.658
_cell_angle_alpha 90.00
_cell_angle_beta 90.00
_cell_angle_gamma 90.00
_symmetry_space_group_name_H-M 'I 4 m m'
_symmetry_Int_Tables_number 107
_symmetry_space_group_name_Hall 'I 4 -2'
loop_
_atom_site_label
_atom_site_type_symbol
_atom_site_fract_x
_atom_site_fract_y
_atom_site_fract_z
Pr1 Pr 0.000 0.000 0.000
Sm1 Sm 0.000 0.000 0.249
Ru1 Ru 0.000 0.000 0.629



3.
# SmDy5TmSc2 (PBE-GGA, optimized geometry)
# energy of formation from the pure elements: 167 meV/atom
# final energy: -4.82 eV per atom
# M_tot: 0.001 μB per cell
data_SmDy5TmSc2
_chemical_formula_sum 'Sm4 Dy20 Tm4 Sc8'
_cell_length_a 5.581
_cell_length_b 21.403
_cell_length_c 9.311
_cell_angle_alpha 90.00
_cell_angle_beta 90.00
_cell_angle_gamma 90.00
_symmetry_space_group_name_H-M 'C m c 21'
_symmetry_Int_Tables_number 36
_symmetry_space_group_name_Hall 'C 2c -2'
loop_
_atom_site_label
_atom_site_type_symbol
_atom_site_fract_x
_atom_site_fract_y
_atom_site_fract_z
Sm1 Sm 0.000 0.184 0.000
Dy1 Dy 0.000 0.011 0.995
Dy2 Dy 0.000 0.265 0.316
Dy3 Dy 0.000 0.307 0.700
Dy4 Dy 0.000 0.392 0.030
Dy5 Dy 0.000 0.469 0.730
Tm1 Tm 0.000 0.402 0.403
Sc1 Sc 0.000 0.113 0.307
Sc2 Sc 0.000 0.135 0.683



4.
# TcSe (PBE-GGA, optimized geometry)
# energy above the most stable polymorph in this dataset: 292 meV/atom
# final energy: -6.84 eV per atom
# E_form (uncorrected): 8.3 kJ/mol of atoms
# M_tot: 0.000 μB per cell
data_TcSe
_chemical_formula_sum 'Tc8 Se8'
_cell_length_a 7.550
_cell_length_b 7.550
_cell_length_c 7.550
_cell_angle_alpha 90.00
_cell_angle_beta 90.00
_cell_angle_gamma 90.00
_symmetry_space_group_name_H-M 'I -4 3 m'
_symmetry_Int_Tables_number 217
_symmetry_space_group_name_Hall 'I -4 2 3'
loop_
_atom_site_label
_atom_site_type_symbol
_atom_site_fract_x
_atom_site_fract_y
_atom_site_fract_z
Tc1 Tc 0.128 0.128 0.872
Se1 Se 0.185 0.185 0.185